(1)
Compound: MgOs2W
Source: Alexandria via LeMat-Bulk
Functional: GGA-PBE
Structure: optimized geometry

a = 2.757 Å, b = 4.330 Å, c = 5.284 Å
α = 90.00°, β = 104.60°, γ = 90.00°
Space group Pm (No. 6)
Asymmetric unit:
Mg  0.000  0.000  0.000 [1 per cell]
Os  0.444  0.000  0.500 [1 per cell]
Os  0.749  0.500  0.232 [1 per cell]
W  0.277  0.500  0.743 [1 per cell]

Results
Energy of formation in eV/atom: 0.25
V in A^3/atom: 15.258
Calculated total energy in eV per formula unit: -35.999
M_tot in μB/atom: 0.00


(2)
Compound: PuNpMoOs
Source: Alexandria via LeMat-Bulk
Functional: GGA-PBE
Structure: optimized geometry

a = 6.534 Å, b = 6.534 Å, c = 6.534 Å
α = 90.00°, β = 90.00°, γ = 90.00°
Space group F-43m (No. 216)
Asymmetric unit:
Pu  0.000  0.000  0.000 [4 per cell]
Np  0.250  0.250  0.250 [4 per cell]
Mo  0.250  0.250  0.750 [4 per cell]
Os  0.000  0.000  0.500 [4 per cell]

Results
Energy of formation in eV/atom: 0.19
V in A^3/atom: 17.438
Calculated total energy in eV per formula unit: -48.585
M_tot in μB/atom: 0.95


(3)
Compound: CeAl4AgPd2
Source: Alexandria via LeMat-Bulk
Functional: GGA-PBE
Structure: optimized geometry

a = 4.3183 Å, b = 4.3183 Å, c = 27.1445 Å
α = 90.00°, β = 90.00°, γ = 120.00°
Space group R-3m (No. 166, hexagonal axes)
Asymmetric unit:
Ce  0.0000  0.0000  0.0000 [3 per cell]
Al  0.0000  0.0000  0.1252 [6 per cell]
Al  0.0000  0.0000  0.4016 [6 per cell]
Ag  0.0000  0.0000  0.5000 [3 per cell]
Pd  0.0000  0.0000  0.2376 [6 per cell]

Results
Energy of formation in eV/atom: -0.53
V in A^3/atom: 18.265
Calculated total energy in eV per formula unit: -38.355
M_tot in μB/atom: 0.08


(4)
Compound: Ca2ErIn
Source: Alexandria via LeMat-Bulk
Functional: GGA-PBE
Structure: optimized geometry

a = 4.165 Å, b = 4.165 Å, c = 7.305 Å
α = 90.00°, β = 90.00°, γ = 90.00°
Space group P4/mmm (No. 123)
Asymmetric unit:
Ca  0.000  0.000  0.235 [2 per cell]
Er  0.500  0.500  0.500 [1 per cell]
In  0.500  0.500  0.000 [1 per cell]

Results
Energy of formation in eV/atom: -0.11
V in A^3/atom: 31.682
Calculated total energy in eV per formula unit: -11.732
M_tot in μB/atom: 0.00
ΔE to the lowest computed polymorph in meV/atom: 100


(5)
Compound: AcH3
Source: Alexandria via LeMat-Bulk
Functional: GGA-PBE
Structure: optimized geometry

a = 3.662 Å, b = 3.662 Å, c = 3.662 Å
α = 90.00°, β = 90.00°, γ = 90.00°
Space group Pm-3m (No. 221)
Asymmetric unit:
Ac  0.000  0.000  0.000 [1 per cell]
H  0.000  0.500  0.500 [3 per cell]

Results
V in A^3/atom: 12.277
Calculated total energy in eV per formula unit: -15.743
M_tot in μB/atom: 0.00
ΔE to the lowest computed polymorph in meV/atom: 174


(6)
Compound: Mg2Sn3Pd4
Source: Alexandria via LeMat-Bulk
Functional: GGA-PBE
Structure: optimized geometry

a = 7.918 Å, b = 4.650 Å, c = 9.679 Å
α = 90.00°, β = 106.91°, γ = 90.00°
Space group C2/m (No. 12)
Asymmetric unit:
Mg  0.104  0.000  0.301 [4 per cell]
Sn  0.000  0.500  0.500 [2 per cell]
Sn  0.203  0.500  0.097 [4 per cell]
Pd  0.097  0.500  0.801 [4 per cell]
Pd  0.197  0.000  0.608 [4 per cell]

Results
Energy of formation in eV/atom: -0.60
V in A^3/atom: 18.944
Calculated total energy in eV per formula unit: -41.356
M_tot in μB/atom: 0.00


(7)
Compound: AlCuBi3
Source: Alexandria via LeMat-Bulk
Functional: GGA-PBE
Structure: optimized geometry

a = 5.294 Å, b = 5.294 Å, c = 5.294 Å
α = 90.00°, β = 90.00°, γ = 90.00°
Space group Pm-3m (No. 221)
Asymmetric unit:
Al  0.000  0.000  0.000 [1 per cell]
Cu  0.500  0.500  0.500 [1 per cell]
Bi  0.000  0.500  0.500 [3 per cell]

Results
Energy of formation in eV/atom: 0.55
V in A^3/atom: 29.674
Calculated total energy in eV per formula unit: -16.752
M_tot in μB/atom: 0.00
ΔE to the lowest computed polymorph in meV/atom: 0


(8)
Compound: EuAlPt
Source: Alexandria via LeMat-Bulk
Functional: GGA-PBE
Structure: optimized geometry

a = 4.3281 Å, b = 4.3281 Å, c = 4.2774 Å
α = 90.00°, β = 90.00°, γ = 120.00°
Space group P-6m2 (No. 187)
Asymmetric unit:
Eu  0.0000  0.0000  0.0000 [1 per cell]
Al  0.6667  0.3333  0.5000 [1 per cell]
Pt  0.3333  0.6667  0.5000 [1 per cell]

Results
Energy of formation in eV/atom: -0.88
V in A^3/atom: 23.130
Calculated total energy in eV per formula unit: -22.689
M_tot in μB/atom: 2.35